VASP calculation (PBE-GGA) on a relaxed structure of Rb2AcPdO4.

Cell: 6.6034 8.0259 12.6674 Å, 83.84 74.89 65.71°
Element x y z (fractional)
Rb  0.1944  0.0000  0.6112
Rb  0.8056  0.0000  0.3888
Rb  0.5556  0.5000  0.8888
Rb  0.9444  0.5000  0.1112
Ac  0.7500  0.5000  0.5000
Ac  0.0000  0.0000  0.0000
Pd  0.2500  0.5000  0.5000
Pd  0.5000  0.0000  0.0000
O  0.3728  0.8097  0.9982
O  0.1807  0.1903  0.0018
O  0.8175  0.8097  0.0018
O  0.6290  0.1903  0.9982
O  0.3772  0.6903  0.5018
O  0.5693  0.3097  0.4982
O  0.9325  0.6903  0.4982
O  0.1210  0.3097  0.5018

Computed properties:
Energy relative to the elements, uncorrected (eV per formula unit): -10.6


VASP calculation (PBE-GGA) on a relaxed structure of LaSc2Be.

Cell: 6.1097 6.1097 5.2616 Å, 64.48 64.48 32.26°
Element x y z (fractional)
Sc  0.0444  0.0444  0.9557
Sc  0.4556  0.4556  0.5443
Be  0.7500  0.7500  0.7500
La  0.2500  0.2500  0.2500

Computed properties:
Calculated formation energy (eV/atom): 0.10


VASP calculation (PBE-GGA) on a relaxed structure of Pr12Sm6Pb.

Cell: 8.8912 8.8912 8.8912 Å, 98.37 98.37 98.37°
Element x y z (fractional)
Pr  0.5806  0.1720  0.5805
Pr  0.1720  0.5805  0.5806
Pr  0.5805  0.5806  0.1720
Pr  0.4194  0.8280  0.4195
Pr  0.8280  0.4195  0.4194
Pr  0.4195  0.4194  0.8280
Pr  0.2590  0.0002  0.7410
Pr  0.2590  0.7410  0.9998
Pr  0.9998  0.2590  0.7410
Pr  0.7410  0.9998  0.2590
Pr  0.7410  0.2590  0.0002
Pr  0.0002  0.7410  0.2590
Sm  0.1362  0.1364  0.4063
Sm  0.8636  0.5937  0.8638
Sm  0.5937  0.8638  0.8636
Sm  0.8638  0.8636  0.5937
Sm  0.1364  0.4063  0.1362
Sm  0.4063  0.1362  0.1364
Pb  0.0000  0.0000  0.0000

Computed properties:
Calculated formation energy (eV/atom): 0.06


VASP calculation (PBE-GGA) on a relaxed structure of Tb2HfRh4.

Cell: 4.6997 4.6997 7.1131 Å, 109.29 109.29 90.00°
Element x y z (fractional)
Tb  0.7300  0.7300  0.4600
Tb  0.2700  0.2700  0.5400
Hf  0.0000  0.0000  0.0000
Rh  0.3860  0.8860  0.7721
Rh  0.8860  0.3860  0.7721
Rh  0.6140  0.1140  0.2279
Rh  0.1140  0.6140  0.2279

Computed properties:
Calculated formation energy (eV/atom): -0.56


no.,VASP energy (eV/atom)
1,-5.21
2,-5.23
3,-4.64
4,-7.50